[1]
DFT (SCAN) results for a crystal of CaAgSe3 relaxed with PBEsol.

Geometry as POSCAR:
```
CaAgSe3
1.0
-3.853 -2.303 2.834
3.585 -3.165 2.304
0.690 3.587 3.852
Ca Se Ag
1 3 1
direct
0.000 0.000 0.000
0.000 0.500 0.000
0.000 0.000 0.500
0.500 0.000 0.000
0.500 0.500 0.500
```

Output
The crystal system is cubic. The raw formation energy is 0.128 eV/atom. The mass density comes out at 4.27 g/cm3.

[2]
DFT (SCAN) results for a crystal of Ag2HgSe relaxed with PBEsol.

Geometry as POSCAR:
```
Ag2HgSe
1.0
-0.966 2.743 2.251
-1.981 -2.353 2.017
4.555 -1.056 3.241
Ag Hg Se
2 1 1
direct
0.000 0.000 0.989
0.500 0.500 0.245
0.000 0.000 0.483
0.500 0.500 0.783
```

Output
The crystal system is tetragonal. The raw formation energy is 0.008 eV/atom. The mass density comes out at 10.69 g/cm3.

[3]
DFT (SCAN) results for a crystal of Sc3TcO relaxed with PBEsol.

Geometry as POSCAR:
```
Sc3TcO
1.0
4.283 0.000 0.000
0.000 4.283 0.000
0.000 0.000 4.283
Sc Tc O
3 1 1
direct
0.000 0.500 0.000
0.000 0.000 0.500
0.500 0.000 0.000
0.500 0.500 0.500
0.000 0.000 0.000
```

Output
The crystal system is cubic. The raw formation energy is -1.373 eV/atom. The mass density comes out at 5.26 g/cm3.

Which formula does entry 1 have?
CaAgSe3

Which value of mass density does entry 2 give?
10.69 g/cm3

The lowest mass density belongs to which entry?
CaAgSe3

Number 3 is which compound?
Sc3TcO